Tm3LuSc2Sb2Os: relaxed, PBE.

DFT total energy	-6.183	eV per atom
symmetry	Amm2 (38)

POSCAR file:
```
Tm3LuSc2Sb2Os
1.0
4.071 0.000 0.000
0.000 6.947 3.965
0.000 -6.947 3.965
Tm Lu Sc Sb Os
3 1 2 2 1
direct
0.000 0.000 0.000
0.000 0.519 0.762
0.000 0.762 0.519
0.500 0.369 0.369
0.500 0.148 0.759
0.500 0.759 0.148
0.000 0.089 0.427
0.000 0.427 0.089
0.500 0.757 0.757
```